*w*
First-principles (PBE) data for TaRe2Ni after structural relaxation, as listed in Alexandria via LeMat-Bulk.

```
TaRe2Ni
1.0
2.779 0.000 0.000
0.000 2.779 0.000
0.000 0.000 7.699
Ta Re Ni
1 2 1
Cartesian
0.000 0.000 0.000 Ta
0.000 0.000 3.704 Re
1.390 1.390 5.546 Re
1.390 1.390 1.919 Ni
```

---

*x*
First-principles (PBE) data for TaRe2Ni after structural relaxation, as listed in Alexandria via LeMat-Bulk.

```
TaRe2Ni
1.0
0.000 3.102 3.102
3.102 0.000 3.102
3.102 3.102 0.000
Ta Re Ni
1 2 1
Cartesian
0.000 0.000 0.000 Ta
1.551 1.551 1.551 Re
4.653 4.653 4.653 Re
3.102 3.102 3.102 Ni
```

---

Bottom line: *w*, by a margin of 129 meV per atom.

---

*w*
First-principles (PBE) data for TaRe2Ni after structural relaxation, as listed in Alexandria via LeMat-Bulk.

```
TaRe2Ni
1.0
2.682 0.000 0.000
0.000 4.347 0.000
-1.022 0.000 5.130
Ta Re Ni
1 2 1
Cartesian
0.000 0.000 0.000 Ta
-0.085 2.174 3.745 Re
0.877 0.000 2.528 Re
2.107 2.174 1.217 Ni
```

---

*x*
First-principles (PBE) data for TaRe2Ni after structural relaxation, as listed in Alexandria via LeMat-Bulk.

```
TaRe2Ni
1.0
2.672 0.000 0.000
0.000 2.672 0.000
0.000 0.000 8.294
Ta Re Ni
1 2 1
Cartesian
0.000 0.000 0.000 Ta
1.336 1.336 2.300 Re
1.336 1.336 5.994 Re
0.000 0.000 4.147 Ni
```

---

Bottom line: *w*, by a margin of 76 meV per atom.

---

*w*
First-principles (PBE) data for TaRe2Ni after structural relaxation, as listed in Alexandria via LeMat-Bulk.

```
TaRe2Ni
1.0
4.564 -1.392 0.000
4.564 1.392 0.000
-0.845 0.000 4.687
Ta Re Ni
1 2 1
Cartesian
0.000 0.000 0.000 Ta
1.553 0.000 3.439 Re
6.730 0.000 1.248 Re
4.141 0.000 2.344 Ni
```

---

*x*
First-principles (PBE) data for TaRe2Ni after structural relaxation, as listed in Alexandria via LeMat-Bulk.

```
TaRe2Ni
1.0
2.725 -3.895 0.000
2.725 3.895 0.000
0.000 0.000 2.818
Ta Re Ni
1 2 1
Cartesian
0.000 0.000 0.000 Ta
1.363 1.947 1.409 Re
1.363 -1.947 1.409 Re
2.725 0.000 0.000 Ni
```

---

*y*
First-principles (PBE) data for TaRe2Ni after structural relaxation, as listed in Alexandria via LeMat-Bulk.

```
TaRe2Ni
1.0
1.390 0.803 8.982
-1.390 0.803 8.982
0.000 -1.606 8.982
Ta Re Ni
1 2 1
Cartesian
0.000 0.000 0.000 Ta
0.000 0.000 6.498 Re
0.000 0.000 13.334 Re
0.000 0.000 20.148 Ni
```

---

*z*
First-principles (PBE) data for TaRe2Ni after structural relaxation, as listed in Alexandria via LeMat-Bulk.

```
TaRe2Ni
1.0
3.829 0.000 0.000
0.000 3.829 0.000
0.000 0.000 4.015
Ta Re Ni
1 2 1
Cartesian
0.000 0.000 0.000 Ta
0.000 1.915 2.008 Re
1.915 0.000 2.008 Re
1.915 1.915 0.000 Ni
```

---

Bottom line: *z*, by a margin of 127 meV per atom.

---

*w*
First-principles (PBE) data for TaReNi2 after structural relaxation, as listed in Alexandria via LeMat-Bulk.

```
TaReNi2
1.0
2.681 -3.773 0.000
2.681 3.773 0.000
-0.011 0.000 2.686
Ta Re Ni
1 1 2
Cartesian
0.000 0.000 0.000 Ta
2.681 0.000 0.000 Re
1.335 1.887 1.343 Ni
1.335 -1.887 1.343 Ni
```

---

*x*
First-principles (PBE) data for TaReNi2 after structural relaxation, as listed in Alexandria via LeMat-Bulk.

```
TaReNi2
1.0
0.000 3.014 3.014
3.014 0.000 3.014
3.014 3.014 0.000
Ta Re Ni
1 1 2
Cartesian
0.000 0.000 0.000 Ta
3.014 3.014 3.014 Re
1.507 1.507 1.507 Ni
4.521 4.521 4.521 Ni
```

---

Bottom line: *w*, by a margin of 194 meV per atom.